1.
Here is a PBEsol-optimized structure of AlTe2Cl4 from the Alexandria database. Energies are from SCAN.

The raw total energy comes out at -17.4209 eV/atom. The magnetization comes out at 0.00 μB per formula unit.

Geometry as CIF:
```
data_AlTe2Cl4
_symmetry_space_group_name_H-M 'P b c a'
_symmetry_Int_Tables_number 61
_symmetry_space_group_name_Hall '-P 2ac 2ab'
_cell_length_a 11.308
_cell_length_b 13.393
_cell_length_c 12.077
_cell_angle_alpha 90.00
_cell_angle_beta 90.00
_cell_angle_gamma 90.00
loop_
_atom_site_label
_atom_site_fract_x
_atom_site_fract_y
_atom_site_fract_z
Al1 0.101 0.140 0.095
Te1 0.012 0.067 0.639
Te2 0.123 0.083 0.442
Cl1 0.073 0.673 0.346
Cl2 0.111 0.111 0.922
Cl3 0.175 0.017 0.188
Cl4 0.214 0.233 0.631
```


2.
Here is a PBEsol-optimized structure of KCa2Y from the Alexandria database. Energies are from SCAN.

For the energy relative to the lowest polymorph listed for this composition, the calculation gives 156 meV/atom. The raw total energy comes out at -13.5589 eV/atom. The magnetization comes out at 0.91 μB per formula unit. For the energy of formation, the calculation gives 0.3157 eV/atom.

Geometry as CIF:
```
data_KCa2Y
_symmetry_space_group_name_H-M 'P m m 2'
_symmetry_Int_Tables_number 25
_symmetry_space_group_name_Hall 'P 2 -2'
_cell_length_a 3.660
_cell_length_b 5.801
_cell_length_c 7.736
_cell_angle_alpha 90.00
_cell_angle_beta 90.00
_cell_angle_gamma 90.00
loop_
_atom_site_label
_atom_site_fract_x
_atom_site_fract_y
_atom_site_fract_z
K1 0.000 0.000 0.000
Ca1 0.000 0.000 0.483
Ca2 0.500 0.500 0.735
Y1 0.500 0.500 0.274
```


3.
Here is a PBEsol-optimized structure of NdN from the Alexandria database. Energies are from SCAN.

The raw total energy comes out at -28.0811 eV/atom. The magnetization comes out at 0.00 μB per formula unit.

Geometry as CIF:
```
data_NdN
_symmetry_space_group_name_H-M 'F m -3 m'
_symmetry_Int_Tables_number 225
_symmetry_space_group_name_Hall '-F 4 2 3'
_cell_length_a 5.106
_cell_length_b 5.106
_cell_length_c 5.106
_cell_angle_alpha 90.00
_cell_angle_beta 90.00
_cell_angle_gamma 90.00
loop_
_atom_site_label
_atom_site_fract_x
_atom_site_fract_y
_atom_site_fract_z
Nd1 0.000 0.000 0.000
N1 0.000 0.000 0.500
```


4.
Here is a PBEsol-optimized structure of CdAgHg2 from the Alexandria database. Energies are from SCAN.

The raw total energy comes out at -49.4980 eV/atom. The magnetization comes out at 0.00 μB per formula unit. For the energy of formation, the calculation gives 0.0303 eV/atom.

Geometry as CIF:
```
data_CdAgHg2
_symmetry_space_group_name_H-M 'P m m 2'
_symmetry_Int_Tables_number 25
_symmetry_space_group_name_Hall 'P 2 -2'
_cell_length_a 3.487
_cell_length_b 3.877
_cell_length_c 5.958
_cell_angle_alpha 90.00
_cell_angle_beta 90.00
_cell_angle_gamma 90.00
loop_
_atom_site_label
_atom_site_fract_x
_atom_site_fract_y
_atom_site_fract_z
Cd1 0.000 0.000 0.000
Ag1 0.500 0.500 0.762
Hg1 0.000 0.000 0.519
Hg2 0.500 0.500 0.254
```


5.
Here is a PBEsol-optimized structure of CeBi from the Alexandria database. Energies are from SCAN.

The raw total energy comes out at -62.5600 eV/atom. The magnetization comes out at 0.94 μB per formula unit. For the energy of formation, the calculation gives -0.9882 eV/atom.

Geometry as CIF:
```
data_CeBi
_symmetry_space_group_name_H-M 'F m -3 m'
_symmetry_Int_Tables_number 225
_symmetry_space_group_name_Hall '-F 4 2 3'
_cell_length_a 6.387
_cell_length_b 6.387
_cell_length_c 6.387
_cell_angle_alpha 90.00
_cell_angle_beta 90.00
_cell_angle_gamma 90.00
loop_
_atom_site_label
_atom_site_fract_x
_atom_site_fract_y
_atom_site_fract_z
Ce1 0.000 0.000 0.000
Bi1 0.000 0.000 0.500
```


6.
Here is a PBEsol-optimized structure of FeSeBr2 from the Alexandria database. Energies are from SCAN.

For the energy relative to the lowest polymorph listed for this composition, the calculation gives 301 meV/atom. The raw total energy comes out at -19.0804 eV/atom. The magnetization comes out at 3.21 μB per formula unit.

Geometry as CIF:
```
data_FeSeBr2
_symmetry_space_group_name_H-M 'C m m m'
_symmetry_Int_Tables_number 65
_symmetry_space_group_name_Hall '-C 2 2'
_cell_length_a 3.157
_cell_length_b 6.083
_cell_length_c 9.479
_cell_angle_alpha 90.00
_cell_angle_beta 90.00
_cell_angle_gamma 90.00
loop_
_atom_site_label
_atom_site_fract_x
_atom_site_fract_y
_atom_site_fract_z
Fe1 0.000 0.000 0.000
Se1 0.000 0.000 0.500
Br1 0.000 0.500 0.185
```


7.
Here is a PBEsol-optimized structure of Y2C from the Alexandria database. Energies are from SCAN.

The raw total energy comes out at -22.3220 eV/atom. The magnetization comes out at 0.33 μB per formula unit. For the energy of formation, the calculation gives -0.3935 eV/atom.

Geometry as CIF:
```
data_Y2C
_symmetry_space_group_name_H-M 'P -3 m 1'
_symmetry_Int_Tables_number 164
_symmetry_space_group_name_Hall '-P 3 2"'
_cell_length_a 3.5424
_cell_length_b 3.5424
_cell_length_c 6.1899
_cell_angle_alpha 90.00
_cell_angle_beta 90.00
_cell_angle_gamma 120.00
loop_
_atom_site_label
_atom_site_fract_x
_atom_site_fract_y
_atom_site_fract_z
Y1 0.3333 0.6667 0.2164
C1 0.0000 0.0000 0.0000
```


8.
Here is a PBEsol-optimized structure of NaHfSbTe2 from the Alexandria database. Energies are from SCAN.

The raw total energy comes out at -34.8079 eV/atom. The magnetization comes out at 0.00 μB per formula unit.

Geometry as CIF:
```
data_NaHfSbTe2
_symmetry_space_group_name_H-M 'P 4/m m m'
_symmetry_Int_Tables_number 123
_symmetry_space_group_name_Hall '-P 4 2'
_cell_length_a 5.292
_cell_length_b 5.292
_cell_length_c 5.054
_cell_angle_alpha 90.00
_cell_angle_beta 90.00
_cell_angle_gamma 90.00
loop_
_atom_site_label
_atom_site_fract_x
_atom_site_fract_y
_atom_site_fract_z
Na1 0.000 0.000 0.000
Hf1 0.500 0.500 0.500
Sb1 0.000 0.000 0.500
Te1 0.000 0.500 0.000
```


9.
Here is a PBEsol-optimized structure of Li3CuF6 from the Alexandria database. Energies are from SCAN.

For the energy relative to the lowest polymorph listed for this composition, the calculation gives 8 meV/atom. The raw total energy comes out at -6.9454 eV/atom. The magnetization comes out at 2.00 μB per formula unit.

Geometry as CIF:
```
data_Li3CuF6
_symmetry_space_group_name_H-M 'R -3'
_symmetry_Int_Tables_number 148
_symmetry_space_group_name_Hall '-R 3'
_cell_length_a 8.3558
_cell_length_b 8.3558
_cell_length_c 9.9511
_cell_angle_alpha 90.00
_cell_angle_beta 90.00
_cell_angle_gamma 120.00
loop_
_atom_site_label
_atom_site_fract_x
_atom_site_fract_y
_atom_site_fract_z
Li1 0.0425 0.2658 0.2089
Cu1 0.0000 0.0000 0.0000
Cu2 0.0000 0.0000 0.5000
F1 0.0219 0.1874 0.8815
F2 0.0242 0.2023 0.3976
```


10.
Here is a PBEsol-optimized structure of ScCd2Pt from the Alexandria database. Energies are from SCAN.

The raw total energy comes out at -36.7860 eV/atom. The magnetization comes out at 0.00 μB per formula unit. For the energy of formation, the calculation gives -0.4712 eV/atom.

Geometry as CIF:
```
data_ScCd2Pt
_symmetry_space_group_name_H-M 'P 1 2/m 1'
_symmetry_Int_Tables_number 10
_symmetry_space_group_name_Hall '-P 2y'
_cell_length_a 2.949
_cell_length_b 4.837
_cell_length_c 5.281
_cell_angle_alpha 90.00
_cell_angle_beta 99.97
_cell_angle_gamma 90.00
loop_
_atom_site_label
_atom_site_fract_x
_atom_site_fract_y
_atom_site_fract_z
Sc1 0.000 0.000 0.000
Cd1 0.347 0.500 0.738
Pt1 0.500 0.000 0.500
```


11.
Here is a PBEsol-optimized structure of Ir7W from the Alexandria database. Energies are from SCAN.

The raw total energy comes out at -71.0905 eV/atom. The magnetization comes out at 0.00 μB per formula unit. For the energy of formation, the calculation gives -0.1678 eV/atom.

Geometry as CIF:
```
data_Ir7W
_symmetry_space_group_name_H-M 'F m -3 m'
_symmetry_Int_Tables_number 225
_symmetry_space_group_name_Hall '-F 4 2 3'
_cell_length_a 7.685
_cell_length_b 7.685
_cell_length_c 7.685
_cell_angle_alpha 90.00
_cell_angle_beta 90.00
_cell_angle_gamma 90.00
loop_
_atom_site_label
_atom_site_fract_x
_atom_site_fract_y
_atom_site_fract_z
Ir1 0.000 0.000 0.000
Ir2 0.000 0.250 0.250
W1 0.000 0.000 0.500
```


12.
Here is a PBEsol-optimized structure of Si2TcMo from the Alexandria database. Energies are from SCAN.

For the energy relative to the lowest polymorph listed for this composition, the calculation gives 0 meV/atom. The raw total energy comes out at -22.9398 eV/atom. The magnetization comes out at 0.00 μB per formula unit.

Geometry as CIF:
```
data_Si2TcMo
_symmetry_space_group_name_H-M 'P 4 m m'
_symmetry_Int_Tables_number 99
_symmetry_space_group_name_Hall 'P 4 -2'
_cell_length_a 3.112
_cell_length_b 3.112
_cell_length_c 5.516
_cell_angle_alpha 90.00
_cell_angle_beta 90.00
_cell_angle_gamma 90.00
loop_
_atom_site_label
_atom_site_fract_x
_atom_site_fract_y
_atom_site_fract_z
Si1 0.000 0.000 0.000
Si2 0.500 0.500 0.252
Tc1 0.000 0.000 0.463
Mo1 0.500 0.500 0.778
```


13.
Here is a PBEsol-optimized structure of Tl2Sb from the Alexandria database. Energies are from SCAN.

For the energy relative to the lowest polymorph listed for this composition, the calculation gives 60 meV/atom. The raw total energy comes out at -60.5979 eV/atom. The magnetization comes out at 0.00 μB per formula unit.

Geometry as CIF:
```
data_Tl2Sb
_symmetry_space_group_name_H-M 'P n n m'
_symmetry_Int_Tables_number 58
_symmetry_space_group_name_Hall '-P 2 2n'
_cell_length_a 5.659
_cell_length_b 7.719
_cell_length_c 4.597
_cell_angle_alpha 90.00
_cell_angle_beta 90.00
_cell_angle_gamma 90.00
loop_
_atom_site_label
_atom_site_fract_x
_atom_site_fract_y
_atom_site_fract_z
Tl1 0.196 0.134 0.000
Sb1 0.000 0.500 0.000
```